# LiFe5Ni6 | the Alexandria database | PBE | optimized geometry
data_LiFe5Ni6
_cell_length_a 3.598
_cell_length_b 10.730
_cell_length_c 7.016
_cell_angle_alpha 90.00
_cell_angle_beta 90.00
_cell_angle_gamma 90.00
_symmetry_space_group_name_H-M 'C m m m'
_symmetry_Int_Tables_number 65
_symmetry_space_group_name_Hall '-C 2 2'
loop_
_atom_site_label
_atom_site_type_symbol
_atom_site_fract_x
_atom_site_fract_y
_atom_site_fract_z
Li1 Li 0.000 0.000 0.000
Fe1 Fe 0.000 0.000 0.500
Fe2 Fe 0.000 0.332 0.000
Fe3 Fe 0.000 0.333 0.500
Ni1 Ni 0.000 0.167 0.251
Ni2 Ni 0.000 0.500 0.248
# Fermi-level density of states: 20.36 states/eV per cell
# Energy relative to the elements: -0.02 eV/atom

---

# CrAg2P | the Alexandria database | PBE | optimized geometry
data_CrAg2P
_cell_length_a 5.368
_cell_length_b 10.102
_cell_length_c 2.942
_cell_angle_alpha 90.00
_cell_angle_beta 122.01
_cell_angle_gamma 90.00
_symmetry_space_group_name_H-M 'C 1 2/m 1'
_symmetry_Int_Tables_number 12
loop_
_symmetry_equiv_pos_as_xyz
'x,y,z'
'-x,-y,-z'
'-x,y,-z'
'x,-y,z'
'x+1/2,y+1/2,z'
'-x+1/2,-y+1/2,-z'
'-x+1/2,y+1/2,-z'
'x+1/2,-y+1/2,z'
loop_
_atom_site_label
_atom_site_type_symbol
_atom_site_fract_x
_atom_site_fract_y
_atom_site_fract_z
Cr1 Cr 0.000 0.000 0.000
Ag1 Ag 0.250 0.250 0.500
P1 P 0.000 0.500 0.000
# Fermi-level density of states: 4.56 states/eV per cell
# Energy relative to the elements: 0.36 eV/atom

---

no.,DFT total energy (eV/atom)
1,-6.600
2,-4.823